(1)
VASP calculation (PBE) on a relaxed Dy4ErAu2 crystal.

Properties
As for the density of states at the Fermi level: 9.5 states/eV per cell. The value obtained for the formation energy is -0.257 eV/atom. The value obtained for the calculated volume is 211 Å³/cell. The space group is R-3m, No. 166.

Cell: 4.9622 4.9622 10.2811 Å, 76.04 76.04 60.00°
Closest atoms and distances in Å follow each position.
Element x y z (fractional)
Dy (0.7022, 0.7022, 0.8935)  4 Au 3.00
Dy (0.1034, 0.1034, 0.6899)  3 Au 3.07, 3 Er 3.42
Dy (0.8966, 0.8966, 0.3101)  3 Au 3.07, 3 Er 3.42
Dy (0.2978, 0.2978, 0.1065)  4 Au 3.00
Au (0.3992, 0.3992, 0.8025)  1 Er 2.99, 7 Dy 3.00-3.07
Au (0.6008, 0.6008, 0.1975)  1 Er 2.99, 7 Dy 3.00-3.07
Er (0.5000, 0.5000, 0.5000)  2 Au 2.99



(2)
VASP calculation (PBE) on a relaxed Nd2Dy5Y4 crystal.

Properties
As for the density of states at the Fermi level: 21.0 states/eV per cell. The value obtained for the formation energy is 0.149 eV/atom. The value obtained for the calculated volume is 362 Å³/cell. The space group is C2/m, No. 12.

Cell: 3.4760 8.7688 12.0812 Å, 96.38 98.27 90.00°
Closest atoms and distances in Å follow each position.
Element x y z (fractional)
Y (0.6781, 0.4738, 0.3561)  6 Y 3.48-3.84, 5 Dy 3.56-3.66, 2 Nd 3.73
Y (0.9545, 0.6393, 0.9090)  1 Dy 3.27, 2 Nd 3.33-3.43, 5 Y 3.45-3.65
Y (0.0455, 0.3607, 0.0910)  1 Dy 3.27, 2 Nd 3.33-3.43, 5 Y 3.45-3.65
Y (0.3219, 0.5262, 0.6439)  6 Y 3.48-3.84, 5 Dy 3.56-3.66, 2 Nd 3.73
Nd (0.9072, 0.2549, 0.8143)  4 Y 3.33-3.73, 2 Dy 3.36-3.38, 2 Nd 3.48
Nd (0.0928, 0.7451, 0.1857)  4 Y 3.33-3.73, 2 Dy 3.36-3.38, 2 Nd 3.48
Dy (0.8585, 0.8772, 0.7171)  3 Y 3.27-3.56, 1 Nd 3.38, 5 Dy 3.44-3.59
Dy (0.2335, 0.8266, 0.4669)  1 Nd 3.36, 7 Dy 3.44-3.59, 3 Y 3.56-3.66
Dy (0.7665, 0.1734, 0.5331)  1 Nd 3.36, 7 Dy 3.44-3.59, 3 Y 3.56-3.66
Dy (0.5000, 0.0000, 0.0000)  6 Dy 3.48-3.85, 4 Y 3.67, 4 Nd 3.75
Dy (0.1415, 0.1228, 0.2829)  3 Y 3.27-3.56, 1 Nd 3.38, 5 Dy 3.44-3.59



(3)
VASP calculation (PBE) on a relaxed Pm5HoEr2Th crystal.

Properties
As for the density of states at the Fermi level: 28.3 states/eV per cell. The value obtained for the formation energy is 0.157 eV/atom. The value obtained for the calculated volume is 608 Å³/cell. The space group is Cmc2_1, No. 36.

Cell: 5.6186 10.5926 10.5972 Å, 90.00 90.00 105.38°
Closest atoms and distances in Å follow each position.
Element x y z (fractional)
Pm (0.6142, 0.2285, 0.5249)  6 Pm 3.56-3.89, 4 Er 3.61-3.62, 1 Th 3.81
Pm (0.2930, 0.5860, 0.7041)  2 Pm 3.35, 1 Ho 3.47, 2 Th 3.48, 3 Er 3.56-3.72
Pm (0.3858, 0.7715, 0.0249)  6 Pm 3.56-3.89, 4 Er 3.61-3.62, 1 Th 3.81
Pm (0.7231, 0.4462, 0.8117)  1 Ho 3.06, 1 Er 3.30, 2 Pm 3.35
Pm (0.4818, 0.9635, 0.7449)  2 Ho 3.23-3.40, 2 Er 3.50, 2 Pm 3.56-3.57
Pm (0.2769, 0.5538, 0.3117)  1 Ho 3.06, 1 Er 3.30, 2 Pm 3.35
Pm (0.0138, 0.0277, 0.0188)  2 Ho 3.31, 4 Er 3.44-3.71, 2 Pm 3.69
Pm (0.9862, 0.9723, 0.5188)  2 Ho 3.31, 4 Er 3.44-3.71, 2 Pm 3.69
Pm (0.7070, 0.4140, 0.2041)  2 Pm 3.35, 1 Ho 3.47, 2 Th 3.48, 3 Er 3.56-3.72
Pm (0.5182, 0.0365, 0.2449)  2 Ho 3.23-3.40, 2 Er 3.50, 2 Pm 3.56-3.57
Er (0.1152, 0.2303, 0.3096)  8 Pm 3.30-3.62, 1 Th 3.60
Er (0.1119, 0.2238, 0.7394)  1 Th 3.39, 7 Pm 3.47-3.72, 2 Ho 3.67
Er (0.8881, 0.7762, 0.2394)  1 Th 3.39, 7 Pm 3.47-3.72, 2 Ho 3.67
Er (0.8848, 0.7697, 0.8096)  8 Pm 3.30-3.62, 1 Th 3.60
Th (0.1996, 0.3992, 0.0112)  2 Er 3.39-3.60, 7 Pm 3.48-3.80, 2 Ho 3.58
Th (0.8004, 0.6008, 0.5112)  2 Er 3.39-3.60, 7 Pm 3.48-3.80, 2 Ho 3.58
Ho (0.5943, 0.1887, 0.9595)  5 Pm 3.06-3.40
Ho (0.4057, 0.8113, 0.4595)  5 Pm 3.06-3.40



(4)
VASP calculation (PBE) on a relaxed BaTlAs2 crystal.

Properties
As for the density of states at the Fermi level: 6.8 states/eV per cell. The value obtained for the formation energy is -0.186 eV/atom. The value obtained for the calculated volume is 117 Å³/cell. The space group is Fm-3m, No. 225.

Cell: 5.4909 5.4909 5.4909 Å, 60.00 60.00 60.00°
Closest atoms and distances in Å follow each position.
Element x y z (fractional)
As (0.7500, 0.7500, 0.7500)  4 Tl 3.36, 4 Ba 3.36
As (0.2500, 0.2500, 0.2500)  4 Tl 3.36, 4 Ba 3.36
Tl (0.5000, 0.5000, 0.5000)  8 As 3.36
Ba (0.0000, 0.0000, 0.0000)  8 As 3.36



(5)
VASP calculation (PBE) on a relaxed BaPmTm2 crystal.

Properties
As for the density of states at the Fermi level: 5.8 states/eV per cell. The value obtained for the formation energy is 0.173 eV/atom. The value obtained for the calculated volume is 147 Å³/cell. The space group is P4/mmm, No. 123.

Cell: 3.7024 3.7024 10.7035 Å, 90.00 90.00 90.00°
Closest atoms and distances in Å follow each position.
Element x y z (fractional)
Tm (0.0000, 0.0000, 0.7816)  4 Pm 3.51, 4 Tm 3.70
Tm (0.0000, 0.0000, 0.2184)  4 Pm 3.51, 4 Tm 3.70
Ba (0.5000, 0.5000, 0.5000)  4 Ba 3.70, 8 Tm 3.99
Pm (0.5000, 0.5000, 0.0000)  8 Tm 3.51, 4 Pm 3.70



(6)
VASP calculation (PBE) on a relaxed SrDyTm crystal.

Properties
As for the density of states at the Fermi level: 5.3 states/eV per cell. The value obtained for the formation energy is 0.176 eV/atom. The value obtained for the calculated volume is 108 Å³/cell. The space group is P3m1, No. 156.

Cell: 3.6918 3.6918 9.1885 Å, 90.00 90.00 120.00°
Closest atoms and distances in Å follow each position.
Element x y z (fractional)
Sr (0.0000, 0.0000, 0.0019)  6 Sr 3.69, 3 Tm 3.87, 3 Dy 3.91
Dy (0.3333, 0.6667, 0.6448)  3 Tm 3.42, 6 Dy 3.69
Tm (0.6667, 0.3333, 0.3533)  3 Dy 3.42, 6 Tm 3.69



(7)
VASP calculation (PBE) on a relaxed PrHoCo4 crystal.

Properties
As for the density of states at the Fermi level: 8.7 states/eV per cell. The value obtained for the formation energy is -0.097 eV/atom. The value obtained for the calculated volume is 96 Å³/cell. The space group is F-43m, No. 216.

Cell: 5.1311 5.1311 5.1311 Å, 60.00 60.00 60.00°
Closest atoms and distances in Å follow each position.
Element x y z (fractional)
Co (0.6258, 0.6258, 0.1227)  6 Co 2.55-2.58
Co (0.6258, 0.1227, 0.6258)  6 Co 2.55-2.58
Co (0.6258, 0.6258, 0.6258)  6 Co 2.55-2.58
Co (0.1227, 0.6258, 0.6258)  6 Co 2.55-2.58
Pr (0.2500, 0.2500, 0.2500)  12 Co 3.01, 4 Ho 3.14
Ho (0.0000, 0.0000, 0.0000)  12 Co 3.01, 4 Pr 3.14



(8)
VASP calculation (PBE) on a relaxed CoHgSb2 crystal.

Properties
As for the density of states at the Fermi level: 2.7 states/eV per cell. Its uncorrected formation energy is 0.1373 eV/atom. The value obtained for the calculated volume is 91 Å³/cell. The space group is Cm, No. 8.

Cell: 5.2015 5.2015 6.2602 Å, 68.82 68.82 35.66°
Closest atoms and distances in Å follow each position.
Element x y z (fractional)
Sb (0.0219, 0.0219, 0.0270)  2 Co 2.57
Sb (0.8394, 0.8394, 0.7207)  2 Co 2.58
Co (0.4531, 0.4531, 0.3741)  4 Sb 2.57-2.58, 3 Hg 2.64-2.81
Hg (0.1856, 0.1856, 0.3781)  3 Co 2.64-2.81



- Which of these has the highest calculated volume?
  Pm5HoEr2Th



- Number 2 is which compound?
  Nd2Dy5Y4